# 1
# Ba3HgGe2O8 PBE-GGA optimized geometry
data_Ba3HgGe2O8
_cell_length_a 5.9719
_cell_length_b 5.9719
_cell_length_c 7.6886
_cell_angle_alpha 90.00
_cell_angle_beta 90.00
_cell_angle_gamma 120.00
_symmetry_space_group_name_H-M 'P -3 m 1'
_symmetry_Int_Tables_number 164
_symmetry_space_group_name_Hall '-P 3 2"'
loop_
_atom_site_label
_atom_site_type_symbol
_atom_site_fract_x
_atom_site_fract_y
_atom_site_fract_z
Ba1 Ba 0.0000 0.0000 0.0000
Ba2 Ba 0.3333 0.6667 0.6630
Hg1 Hg 0.0000 0.0000 0.5000
Ge1 Ge 0.3333 0.6667 0.2092
O1 O 0.1730 0.3459 0.2971
O2 O 0.3333 0.6667 0.9835
# ΔE_f (raw) (meV per atom): -2018.3
# M_tot (μB/f.u.): 0.00
# Calculated density (g cm⁻³): 6.19



# 2
# Y5Pd6 PBE-GGA optimized geometry
data_Y5Pd6
_cell_length_a 15.207
_cell_length_b 7.100
_cell_length_c 4.882
_cell_angle_alpha 90.00
_cell_angle_beta 106.76
_cell_angle_gamma 90.00
_symmetry_space_group_name_H-M 'C 1 2/m 1'
_symmetry_Int_Tables_number 12
_symmetry_space_group_name_Hall '-C 2y'
loop_
_atom_site_label
_atom_site_type_symbol
_atom_site_fract_x
_atom_site_fract_y
_atom_site_fract_z
Y1 Y 0.000 0.000 0.000
Y2 Y 0.142 0.500 0.659
Y3 Y 0.175 0.000 0.674
Pd1 Pd 0.000 0.214 0.500
Pd2 Pd 0.178 0.228 0.182
# E (eV/atom): -6.537
# M_tot (μB/f.u.): 0.00
# Calculated density (g cm⁻³): 7.13



# 3
# Ca5ErAs4 PBE-GGA optimized geometry
data_Ca5ErAs4
_cell_length_a 18.810
_cell_length_b 4.361
_cell_length_c 7.917
_cell_angle_alpha 90.00
_cell_angle_beta 114.77
_cell_angle_gamma 90.00
_symmetry_space_group_name_H-M 'C 1 2/m 1'
_symmetry_Int_Tables_number 12
_symmetry_space_group_name_Hall '-C 2y'
loop_
_atom_site_label
_atom_site_type_symbol
_atom_site_fract_x
_atom_site_fract_y
_atom_site_fract_z
Ca1 Ca 0.000 0.000 0.000
Ca2 Ca 0.167 0.500 0.428
Ca3 Ca 0.167 0.500 0.906
Er1 Er 0.000 0.000 0.500
As1 As 0.000 0.500 0.253
As2 As 0.196 0.000 0.696
# E (eV/atom): -4.400
# M_tot (μB/f.u.): 1.00
# Calculated density (g cm⁻³): 3.76



# 4
# ErTl2Sn PBE-GGA optimized geometry
data_ErTl2Sn
_cell_length_a 4.681
_cell_length_b 4.681
_cell_length_c 4.866
_cell_angle_alpha 90.00
_cell_angle_beta 90.00
_cell_angle_gamma 90.00
_symmetry_space_group_name_H-M 'P 4/m m m'
_symmetry_Int_Tables_number 123
_symmetry_space_group_name_Hall '-P 4 2'
loop_
_atom_site_label
_atom_site_type_symbol
_atom_site_fract_x
_atom_site_fract_y
_atom_site_fract_z
Er1 Er 0.000 0.000 0.000
Tl1 Tl 0.000 0.500 0.500
Sn1 Sn 0.500 0.500 0.000
# M_tot (μB/f.u.): 0.00
# Calculated density (g cm⁻³): 10.82
# Polymorph energy (0 for the lowest one) (eV/atom): 0.000



# 5
# CaZnW2 PBE-GGA optimized geometry
data_CaZnW2
_cell_length_a 2.804
_cell_length_b 5.078
_cell_length_c 5.129
_cell_angle_alpha 90.00
_cell_angle_beta 95.05
_cell_angle_gamma 90.00
_symmetry_space_group_name_H-M 'P 1 2/m 1'
_symmetry_Int_Tables_number 10
_symmetry_space_group_name_Hall '-P 2y'
loop_
_atom_site_label
_atom_site_type_symbol
_atom_site_fract_x
_atom_site_fract_y
_atom_site_fract_z
Ca1 Ca 0.000 0.000 0.000
Zn1 Zn 0.500 0.000 0.500
W1 W 0.340 0.500 0.749
# E (eV/atom): -6.637
# M_tot (μB/f.u.): 0.00
# Calculated density (g cm⁻³): 10.80



# 6
# InSn5Pd4 PBE-GGA optimized geometry
data_InSn5Pd4
_cell_length_a 13.936
_cell_length_b 4.615
_cell_length_c 6.754
_cell_angle_alpha 90.00
_cell_angle_beta 91.63
_cell_angle_gamma 90.00
_symmetry_space_group_name_H-M 'C 1 2/m 1'
_symmetry_Int_Tables_number 12
_symmetry_space_group_name_Hall '-C 2y'
loop_
_atom_site_label
_atom_site_type_symbol
_atom_site_fract_x
_atom_site_fract_y
_atom_site_fract_z
In1 In 0.000 0.000 0.000
Sn1 Sn 0.000 0.000 0.500
Sn2 Sn 0.169 0.500 0.007
Sn3 Sn 0.170 0.500 0.492
Pd1 Pd 0.004 0.500 0.241
Pd2 Pd 0.161 0.000 0.754
# E (eV/atom): -4.714
# M_tot (μB/f.u.): 0.00
# Calculated density (g cm⁻³): 8.67



# 7
# Co2Ni2Ag PBE-GGA optimized geometry
data_Co2Ni2Ag
_cell_length_a 7.006
_cell_length_b 7.006
_cell_length_c 2.572
_cell_angle_alpha 90.00
_cell_angle_beta 90.00
_cell_angle_gamma 90.00
_symmetry_space_group_name_H-M 'P 4/m b m'
_symmetry_Int_Tables_number 127
_symmetry_space_group_name_Hall '-P 4 2ab'
loop_
_atom_site_label
_atom_site_type_symbol
_atom_site_fract_x
_atom_site_fract_y
_atom_site_fract_z
Co1 Co 0.170 0.330 0.000
Ni1 Ni 0.123 0.623 0.500
Ag1 Ag 0.000 0.000 0.500
# M_tot (μB/f.u.): 4.83
# Calculated density (g cm⁻³): 9.03
# Polymorph energy (0 for the lowest one) (eV/atom): 0.003